[1]
# BaGa2HN

A relaxed BaGa2HN crystal (PBE, Alexandria via LeMat-Bulk).

CIF file:
```
data_BaGa2HN
_chemical_formula_sum 'Ba1 Ga2 H1 N1'
_space_group_name_H-M_alt 'P 4/m m m'
_space_group_IT_number 123
_space_group_name_Hall '-P 4 2'
_cell_length_a 3.948
_cell_length_b 3.948
_cell_length_c 6.305
_cell_angle_alpha 90.00
_cell_angle_beta 90.00
_cell_angle_gamma 90.00
loop_
_atom_site_label
_atom_site_fract_x
_atom_site_fract_y
_atom_site_fract_z
Ba1 0.000 0.000 0.000
Ga1 0.000 0.500 0.500
H1 0.500 0.500 0.500
N1 0.500 0.500 0.000
```

[2]
# PBE CrBiAu4, optimized geometry
# Formation energy = 0.9 eV per formula unit
data_CrBiAu4
_chemical_formula_sum 'Cr4 Bi4 Au16'
_space_group_name_H-M_alt 'F -4 3 m'
_space_group_IT_number 216
_space_group_name_Hall 'F -4 2 3'
_cell_length_a 7.915
_cell_length_b 7.915
_cell_length_c 7.915
_cell_angle_alpha 90.00
_cell_angle_beta 90.00
_cell_angle_gamma 90.00
loop_
_atom_site_label
_atom_site_fract_x
_atom_site_fract_y
_atom_site_fract_z
Cr1 0.000 0.000 0.000
Bi1 0.250 0.250 0.750
Au1 0.125 0.125 0.375

[3]
# PBE Ga6PdPt8, optimized geometry
# Formation energy = -7.8 eV per formula unit
data_Ga6PdPt8
_chemical_formula_sum 'Ga18 Pd3 Pt24'
_space_group_name_H-M_alt 'R -3'
_space_group_IT_number 148
_space_group_name_Hall '-R 3'
_cell_length_a 7.3627
_cell_length_b 7.3627
_cell_length_c 15.7433
_cell_angle_alpha 90.00
_cell_angle_beta 90.00
_cell_angle_gamma 120.00
loop_
_atom_site_label
_atom_site_fract_x
_atom_site_fract_y
_atom_site_fract_z
Ga1 0.0012 0.3361 0.2316
Pd1 0.0000 0.0000 0.5000
Pt1 0.0000 0.0000 0.1654
Pt2 0.0009 0.3306 0.7258

[4]
# PBE LiYFe2Ag, optimized geometry
# Formation energy = 4.4 eV per formula unit
data_LiYFe2Ag
_chemical_formula_sum 'Li1 Y1 Fe2 Ag1'
_space_group_name_H-M_alt 'P 4/m m m'
_space_group_IT_number 123
_space_group_name_Hall '-P 4 2'
_cell_length_a 4.302
_cell_length_b 4.302
_cell_length_c 4.931
_cell_angle_alpha 90.00
_cell_angle_beta 90.00
_cell_angle_gamma 90.00
loop_
_atom_site_label
_atom_site_fract_x
_atom_site_fract_y
_atom_site_fract_z
Li1 0.000 0.000 0.000
Y1 0.000 0.000 0.500
Fe1 0.000 0.500 0.000
Ag1 0.500 0.500 0.500

[5]
# PBE LuAgSn2, optimized geometry
# Formation energy = -0.8 eV per formula unit
# Excess energy over the best structure of this formula in the dataset = 175 meV per atom
data_LuAgSn2
_chemical_formula_sum 'Lu1 Ag1 Sn2'
_space_group_name_H-M_alt 'P 4/m m m'
_space_group_IT_number 123
_space_group_name_Hall '-P 4 2'
_cell_length_a 3.752
_cell_length_b 3.752
_cell_length_c 6.807
_cell_angle_alpha 90.00
_cell_angle_beta 90.00
_cell_angle_gamma 90.00
loop_
_atom_site_label
_atom_site_fract_x
_atom_site_fract_y
_atom_site_fract_z
Lu1 0.000 0.000 0.000
Ag1 0.000 0.000 0.500
Sn1 0.500 0.500 0.274

| no. | VASP energy (eV/atom) |
| --- | --- |
| 1 | -3.4635 |
| 2 | -4.2822 |
| 3 | -5.3013 |
| 4 | -4.7522 |
| 5 | -4.0385 |